(a)
# PBE BeAlSeBr2, optimized geometry
# **SG**: No. 123
# **Magnetic moment**: 0.00 μB/atom
# **DOS(E_F)**: 0.58 states/eV/atom
data_BeAlSeBr2
_chemical_formula_sum 'Be1 Al1 Se1 Br2'
_symmetry_space_group_name_H-M 'P 1'
_symmetry_Int_Tables_number 1
_symmetry_space_group_name_Hall 'P 1'
_cell_length_a 4.7957
_cell_length_b 4.8494
_cell_length_c 4.7970
_cell_angle_alpha 90.00
_cell_angle_beta 90.00
_cell_angle_gamma 90.00
loop_
_atom_site_label
_atom_site_type_symbol
_atom_site_fract_x
_atom_site_fract_y
_atom_site_fract_z
Be1 Be 0.0000 0.0000 0.0000
Se1 Se 0.0000 0.5000 0.0000
Br1 Br 0.5000 0.0000 0.0000
Br2 Br 0.0000 0.0000 0.5000
Al1 Al 0.5000 0.5000 0.5000



(b)
# PBE BeAlSeBr2, optimized geometry
# **SG**: No. 123
# **Magnetic moment**: 0.00 μB/atom
# **DOS(E_F)**: 0.48 states/eV/atom
data_BeAlSeBr2
_chemical_formula_sum 'Be1 Al1 Se1 Br2'
_symmetry_space_group_name_H-M 'P 1'
_symmetry_Int_Tables_number 1
_symmetry_space_group_name_Hall 'P 1'
_cell_length_a 4.9508
_cell_length_b 4.9508
_cell_length_c 5.1182
_cell_angle_alpha 90.00
_cell_angle_beta 90.00
_cell_angle_gamma 90.00
loop_
_atom_site_label
_atom_site_type_symbol
_atom_site_fract_x
_atom_site_fract_y
_atom_site_fract_z
Be1 Be 0.5000 0.5000 0.5000
Se1 Se 0.0000 0.0000 0.5000
Br1 Br 0.0000 0.5000 0.0000
Br2 Br 0.5000 0.0000 0.0000
Al1 Al 0.0000 0.0000 0.0000



The energy of each structure relative to the most stable one, in meV per atom, is as follows: (a) 0; (b) 268.



(a)
# PBE BeAlC3, optimized geometry
# **SG**: No. 221
# **Magnetic moment**: 0.00 μB/atom
# **DOS(E_F)**: 0.42 states/eV/atom
data_BeAlC3
_chemical_formula_sum 'Be1 Al1 C3'
_symmetry_space_group_name_H-M 'P 1'
_symmetry_Int_Tables_number 1
_symmetry_space_group_name_Hall 'P 1'
_cell_length_a 3.5759
_cell_length_b 3.5759
_cell_length_c 3.5759
_cell_angle_alpha 90.00
_cell_angle_beta 90.00
_cell_angle_gamma 90.00
loop_
_atom_site_label
_atom_site_type_symbol
_atom_site_fract_x
_atom_site_fract_y
_atom_site_fract_z
Be1 Be 0.0000 0.0000 0.0000
C1 C 0.0000 0.5000 0.0000
C2 C 0.0000 0.0000 0.5000
C3 C 0.5000 0.0000 0.0000
Al1 Al 0.5000 0.5000 0.5000



(b)
# PBE BeAlC3, optimized geometry
# **SG**: No. 221
# **Magnetic moment**: 0.00 μB/atom
# **DOS(E_F)**: 0.66 states/eV/atom
data_BeAlC3
_chemical_formula_sum 'Be1 Al1 C3'
_symmetry_space_group_name_H-M 'P 1'
_symmetry_Int_Tables_number 1
_symmetry_space_group_name_Hall 'P 1'
_cell_length_a 3.8724
_cell_length_b 3.8724
_cell_length_c 3.8724
_cell_angle_alpha 90.00
_cell_angle_beta 90.00
_cell_angle_gamma 90.00
loop_
_atom_site_label
_atom_site_type_symbol
_atom_site_fract_x
_atom_site_fract_y
_atom_site_fract_z
Be1 Be 0.5000 0.5000 0.5000
C1 C 0.0000 0.5000 0.0000
C2 C 0.0000 0.0000 0.5000
C3 C 0.5000 0.0000 0.0000
Al1 Al 0.0000 0.0000 0.0000



The energy of each structure relative to the most stable one, in meV per atom, is as follows: (a) 0; (b) 428.



(a)
# PBE BeAl2C, optimized geometry
# **SG**: No. 166
# **Magnetic moment**: 0.21 μB/atom
# **DOS(E_F)**: 0.35 states/eV/atom
data_BeAl2C
_chemical_formula_sum 'Be1 Al2 C1'
_symmetry_space_group_name_H-M 'P 1'
_symmetry_Int_Tables_number 1
_symmetry_space_group_name_Hall 'P 1'
_cell_length_a 4.0672
_cell_length_b 4.0672
_cell_length_c 5.6609
_cell_angle_alpha 68.95
_cell_angle_beta 68.95
_cell_angle_gamma 60.00
loop_
_atom_site_label
_atom_site_type_symbol
_atom_site_fract_x
_atom_site_fract_y
_atom_site_fract_z
Be1 Be 0.5000 0.5000 0.5000
C1 C 0.0000 0.0000 0.0000
Al1 Al 0.1226 0.1226 0.6322
Al2 Al 0.8774 0.8774 0.3678



(b)
# PBE BeAl2C, optimized geometry
# **SG**: No. 225
# **Magnetic moment**: 0.00 μB/atom
# **DOS(E_F)**: 0.50 states/eV/atom
data_BeAl2C
_chemical_formula_sum 'Be1 Al2 C1'
_symmetry_space_group_name_H-M 'P 1'
_symmetry_Int_Tables_number 1
_symmetry_space_group_name_Hall 'P 1'
_cell_length_a 4.0243
_cell_length_b 4.0243
_cell_length_c 4.0243
_cell_angle_alpha 60.00
_cell_angle_beta 60.00
_cell_angle_gamma 60.00
loop_
_atom_site_label
_atom_site_type_symbol
_atom_site_fract_x
_atom_site_fract_y
_atom_site_fract_z
Be1 Be 0.0000 0.0000 0.0000
C1 C 0.5000 0.5000 0.5000
Al1 Al 0.2500 0.2500 0.2500
Al2 Al 0.7500 0.7500 0.7500



(c)
# PBE BeAl2C, optimized geometry
# **SG**: No. 122
# **Magnetic moment**: 0.00 μB/atom
# **DOS(E_F)**: 0.02 states/eV/atom
data_BeAl2C
_chemical_formula_sum 'Be2 Al4 C2'
_symmetry_space_group_name_H-M 'P 1'
_symmetry_Int_Tables_number 1
_symmetry_space_group_name_Hall 'P 1'
_cell_length_a 5.5337
_cell_length_b 5.5337
_cell_length_c 5.5035
_cell_angle_alpha 59.82
_cell_angle_beta 59.82
_cell_angle_gamma 90.00
loop_
_atom_site_label
_atom_site_type_symbol
_atom_site_fract_x
_atom_site_fract_y
_atom_site_fract_z
Be1 Be 0.5000 0.5000 0.0000
Be2 Be 0.2500 0.7500 0.5000
C1 C 0.0000 0.0000 0.0000
C2 C 0.7500 0.2500 0.5000
Al1 Al 0.7050 0.1250 0.2500
Al2 Al 0.0450 0.6250 0.2500
Al3 Al 0.3750 0.2950 0.7500
Al4 Al 0.8750 0.9550 0.7500



The energy of each structure relative to the most stable one, in meV per atom, is as follows: (a) 599; (b) 509; (c) 0.



(a)
# PBE CaBeAl, optimized geometry
# **SG**: No. 216
# **Magnetic moment**: 0.01 μB/atom
# **DOS(E_F)**: 1.57 states/eV/atom
data_CaBeAl
_chemical_formula_sum 'Ca1 Be1 Al1'
_symmetry_space_group_name_H-M 'P 1'
_symmetry_Int_Tables_number 1
_symmetry_space_group_name_Hall 'P 1'
_cell_length_a 4.5003
_cell_length_b 4.5003
_cell_length_c 4.5003
_cell_angle_alpha 60.00
_cell_angle_beta 60.00
_cell_angle_gamma 60.00
loop_
_atom_site_label
_atom_site_type_symbol
_atom_site_fract_x
_atom_site_fract_y
_atom_site_fract_z
Be1 Be 0.2500 0.2500 0.2500
Ca1 Ca 0.0000 0.0000 0.0000
Al1 Al 0.5000 0.5000 0.5000



(b)
# PBE CaBeAl, optimized geometry
# **SG**: No. 216
# **Magnetic moment**: 0.00 μB/atom
# **DOS(E_F)**: 1.48 states/eV/atom
data_CaBeAl
_chemical_formula_sum 'Ca1 Be1 Al1'
_symmetry_space_group_name_H-M 'P 1'
_symmetry_Int_Tables_number 1
_symmetry_space_group_name_Hall 'P 1'
_cell_length_a 4.7895
_cell_length_b 4.7895
_cell_length_c 4.7895
_cell_angle_alpha 60.00
_cell_angle_beta 60.00
_cell_angle_gamma 60.00
loop_
_atom_site_label
_atom_site_type_symbol
_atom_site_fract_x
_atom_site_fract_y
_atom_site_fract_z
Be1 Be 0.5000 0.5000 0.5000
Ca1 Ca 0.2500 0.2500 0.2500
Al1 Al 0.0000 0.0000 0.0000



(c)
# PBE CaBeAl, optimized geometry
# **SG**: No. 107
# **Magnetic moment**: 0.00 μB/atom
# **DOS(E_F)**: 0.47 states/eV/atom
data_CaBeAl
_chemical_formula_sum 'Ca1 Be1 Al1'
_symmetry_space_group_name_H-M 'P 1'
_symmetry_Int_Tables_number 1
_symmetry_space_group_name_Hall 'P 1'
_cell_length_a 6.0346
_cell_length_b 6.0345
_cell_length_c 3.1898
_cell_angle_alpha 74.68
_cell_angle_beta 74.67
_cell_angle_gamma 30.65
loop_
_atom_site_label
_atom_site_type_symbol
_atom_site_fract_x
_atom_site_fract_y
_atom_site_fract_z
Be1 Be 0.3602 0.3602 0.6398
Ca1 Ca 0.6739 0.6739 0.3261
Al1 Al 0.9659 0.9659 0.0341



The energy of each structure relative to the most stable one, in meV per atom, is as follows: (a) 67; (b) 804; (c) 0.



(a)
# PBE CaBeAl, optimized geometry
# **SG**: No. 187
# **Magnetic moment**: 0.00 μB/atom
# **DOS(E_F)**: 0.51 states/eV/atom
data_CaBeAl
_chemical_formula_sum 'Ca1 Be1 Al1'
_symmetry_space_group_name_H-M 'P 1'
_symmetry_Int_Tables_number 1
_symmetry_space_group_name_Hall 'P 1'
_cell_length_a 4.3752
_cell_length_b 4.3752
_cell_length_c 3.6726
_cell_angle_alpha 90.00
_cell_angle_beta 90.00
_cell_angle_gamma 120.00
loop_
_atom_site_label
_atom_site_type_symbol
_atom_site_fract_x
_atom_site_fract_y
_atom_site_fract_z
Be1 Be 0.6667 0.3333 0.1665
Ca1 Ca 0.3333 0.6667 0.6666
Al1 Al 0.0000 0.0000 0.1666



(b)
# PBE CaBeAl, optimized geometry
# **SG**: No. 166
# **Magnetic moment**: 0.00 μB/atom
# **DOS(E_F)**: 0.44 states/eV/atom
data_CaBeAl
_chemical_formula_sum 'Ca6 Be6 Al6'
_symmetry_space_group_name_H-M 'P 1'
_symmetry_Int_Tables_number 1
_symmetry_space_group_name_Hall 'P 1'
_cell_length_a 5.4817
_cell_length_b 5.4817
_cell_length_c 13.4237
_cell_angle_alpha 78.22
_cell_angle_beta 78.22
_cell_angle_gamma 60.00
loop_
_atom_site_label
_atom_site_type_symbol
_atom_site_fract_x
_atom_site_fract_y
_atom_site_fract_z
Ca1 Ca 0.7318 0.7318 0.8047
Ca2 Ca 0.2682 0.2682 0.1953
Ca3 Ca 0.0391 0.0391 0.8827
Ca4 Ca 0.9609 0.9609 0.1173
Ca5 Ca 0.1824 0.1824 0.4529
Ca6 Ca 0.8176 0.8176 0.5471
Al1 Al 0.2251 0.7226 0.3298
Al2 Al 0.7226 0.2251 0.3298
Al3 Al 0.7226 0.7226 0.3298
Al4 Al 0.7749 0.2774 0.6702
Al5 Al 0.2774 0.7749 0.6702
Al6 Al 0.2774 0.2774 0.6702
Be1 Be 0.3785 0.3785 0.8644
Be2 Be 0.6215 0.6215 0.1356
Be3 Be 0.0000 0.5000 0.0000
Be4 Be 0.5000 0.0000 0.0000
Be5 Be 0.5000 0.5000 0.0000
Be6 Be 0.5000 0.5000 0.5000



The energy of each structure relative to the most stable one, in meV per atom, is as follows: (a) 0; (b) 6.



(a)
# PBE CaBe2Al2, optimized geometry
# **SG**: No. 139
# **Magnetic moment**: 0.00 μB/atom
# **DOS(E_F)**: 0.40 states/eV/atom
data_CaBe2Al2
_chemical_formula_sum 'Ca1 Be2 Al2'
_symmetry_space_group_name_H-M 'P 1'
_symmetry_Int_Tables_number 1
_symmetry_space_group_name_Hall 'P 1'
_cell_length_a 4.1141
_cell_length_b 4.1141
_cell_length_c 5.8408
_cell_angle_alpha 69.38
_cell_angle_beta 69.38
_cell_angle_gamma 90.00
loop_
_atom_site_label
_atom_site_type_symbol
_atom_site_fract_x
_atom_site_fract_y
_atom_site_fract_z
Be1 Be 0.7500 0.2500 0.5000
Be2 Be 0.2500 0.7500 0.5000
Ca1 Ca 0.0000 0.0000 0.0000
Al1 Al 0.3699 0.3699 0.2602
Al2 Al 0.6301 0.6301 0.7398



(b)
# PBE CaBe2Al2, optimized geometry
# **SG**: No. 127
# **Magnetic moment**: 0.00 μB/atom
# **DOS(E_F)**: 0.30 states/eV/atom
data_CaBe2Al2
_chemical_formula_sum 'Ca2 Be4 Al4'
_symmetry_space_group_name_H-M 'P 1'
_symmetry_Int_Tables_number 1
_symmetry_space_group_name_Hall 'P 1'
_cell_length_a 7.5719
_cell_length_b 7.5719
_cell_length_c 2.6652
_cell_angle_alpha 90.00
_cell_angle_beta 90.00
_cell_angle_gamma 90.00
loop_
_atom_site_label
_atom_site_type_symbol
_atom_site_fract_x
_atom_site_fract_y
_atom_site_fract_z
Be1 Be 0.1616 0.6616 0.5000
Be2 Be 0.6616 0.8384 0.5000
Be3 Be 0.8384 0.3384 0.5000
Be4 Be 0.3384 0.1616 0.5000
Ca1 Ca 0.0000 0.0000 0.0000
Ca2 Ca 0.5000 0.5000 0.0000
Al1 Al 0.3697 0.8697 0.0000
Al2 Al 0.8697 0.6303 0.0000
Al3 Al 0.6303 0.1303 0.0000
Al4 Al 0.1303 0.3697 0.0000



(c)
# PBE CaBe2Al2, optimized geometry
# **SG**: No. 127
# **Magnetic moment**: 0.00 μB/atom
# **DOS(E_F)**: 0.23 states/eV/atom
data_CaBe2Al2
_chemical_formula_sum 'Ca2 Be4 Al4'
_symmetry_space_group_name_H-M 'P 1'
_symmetry_Int_Tables_number 1
_symmetry_space_group_name_Hall 'P 1'
_cell_length_a 7.5512
_cell_length_b 7.5512
_cell_length_c 2.7159
_cell_angle_alpha 90.00
_cell_angle_beta 90.00
_cell_angle_gamma 90.00
loop_
_atom_site_label
_atom_site_type_symbol
_atom_site_fract_x
_atom_site_fract_y
_atom_site_fract_z
Be1 Be 0.3580 0.8580 0.0000
Be2 Be 0.8580 0.6420 0.0000
Be3 Be 0.6420 0.1420 0.0000
Be4 Be 0.1420 0.3580 0.0000
Ca1 Ca 0.0000 0.0000 0.0000
Ca2 Ca 0.5000 0.5000 0.0000
Al1 Al 0.1459 0.6459 0.5000
Al2 Al 0.6459 0.8541 0.5000
Al3 Al 0.8541 0.3541 0.5000
Al4 Al 0.3541 0.1459 0.5000



The energy of each structure relative to the most stable one, in meV per atom, is as follows: (a) 0; (b) 169; (c) 161.